Entry 1:
DFT (PBE-GGA) results for a relaxed GaAu5 crystal.

Cell and atoms, written as POSCAR:
```
GaAu5
1.0
-2.356 -1.072 4.459
4.850 -2.428 -1.946
4.838 6.384 4.091
Au Ga
10 2
Direct
0.714 0.984 0.590
0.286 0.016 0.090
0.286 0.016 0.410
0.773 0.522 0.916
0.714 0.984 0.910
0.241 0.051 0.750
0.227 0.478 0.416
0.773 0.522 0.584
0.759 0.949 0.250
0.227 0.478 0.084
0.227 0.512 0.750
0.773 0.488 0.250
```

---

Entry 2:
DFT (PBE-GGA) results for a relaxed LaPm2Al crystal.

Cell and atoms, written as POSCAR:
```
LaPm2Al
1.0
-0.206 1.924 4.826
-3.221 -2.099 3.501
2.893 -3.605 4.362
Pm Al La
2 1 1
Direct
0.044 0.044 0.868
0.275 0.275 0.175
0.691 0.691 0.927
0.490 0.490 0.530
```

---

Formation enthalpy at 0 K? In order: -56, 34 meV/atom.
Energy above the lowest structure with this stoichiometry? In order: 0, 219 meV per atom.